The following is a DFT calculation (PBE-GGA) of a relaxed structure of K3AuICl.

```
12
Lattice="8.2300 0.0000 0.0000 0.0000 4.6553 0.0000 -2.7533 0.0000 12.3450" Properties=species:S:1:pos:R:3 pbc="T T T"
K -0.0964 1.1638 1.8238
K 0.7567 1.1638 6.1481
K 1.2883 3.4915 10.4914
K 4.1883 1.1638 1.8535
K 4.7200 3.4915 6.1969
K 5.5730 3.4915 10.5211
Au -0.6986 3.4915 7.9041
Au 6.1753 1.1638 4.4408
I 2.0690 3.4915 3.6528
I 3.4077 1.1638 8.6922
Cl -0.6989 1.1638 11.8163
Cl 6.1755 3.4915 0.5287
```

Calculated values
space-group type: P2_1/m
energy relative to the elements, uncorrected: -1.185 eV per atom
total magnetization: 0.000 μB/atom
uncorrected energy: -2.8458 eV per atom
D(E_F): 0.000 states/eV per cell